Version one
# Zn3HgF, relaxed, DFT PBE
data_Zn3HgF
_space_group_name_H-M_alt 'P 1'
_space_group_IT_number 1
_cell_length_a 4.5097
_cell_length_b 4.5097
_cell_length_c 4.5097
_cell_angle_alpha 90.00
_cell_angle_beta 90.00
_cell_angle_gamma 90.00
loop_
_space_group_symop_operation_xyz
'x,y,z'
loop_
_atom_site_label
_atom_site_type_symbol
_atom_site_fract_x
_atom_site_fract_y
_atom_site_fract_z
Zn1 Zn 0.0000 0.0000 0.5000
Zn2 Zn 0.0000 0.5000 0.0000
Zn3 Zn 0.5000 0.0000 0.0000
Hg1 Hg 0.5000 0.5000 0.5000
F1 F 0.0000 0.0000 0.0000
# V ... 91.7 Å³ per cell
# Symmetry ... No. 221

***

Version two
# Zn3HgF, relaxed, DFT PBE
data_Zn3HgF
_space_group_name_H-M_alt 'P 1'
_space_group_IT_number 1
_cell_length_a 5.0451
_cell_length_b 5.0451
_cell_length_c 5.0451
_cell_angle_alpha 90.00
_cell_angle_beta 90.00
_cell_angle_gamma 90.00
loop_
_space_group_symop_operation_xyz
'x,y,z'
loop_
_atom_site_label
_atom_site_type_symbol
_atom_site_fract_x
_atom_site_fract_y
_atom_site_fract_z
Zn1 Zn 0.0000 0.0000 0.5000
Zn2 Zn 0.0000 0.5000 0.0000
Zn3 Zn 0.5000 0.0000 0.0000
Hg1 Hg 0.0000 0.0000 0.0000
F1 F 0.5000 0.5000 0.5000
# V ... 128.4 Å³ per cell
# Symmetry ... No. 221

***

Short version: version one is the most stable of them.

***

Version one
# ZnHgF3, relaxed, DFT PBE
data_ZnHgF3
_space_group_name_H-M_alt 'P 1'
_space_group_IT_number 1
_cell_length_a 5.6743
_cell_length_b 3.3864
_cell_length_c 7.8193
_cell_angle_alpha 90.00
_cell_angle_beta 106.97
_cell_angle_gamma 90.00
loop_
_space_group_symop_operation_xyz
'x,y,z'
loop_
_atom_site_label
_atom_site_type_symbol
_atom_site_fract_x
_atom_site_fract_y
_atom_site_fract_z
Zn1 Zn 0.2265 0.2500 0.4462
Zn2 Zn 0.7735 0.7500 0.5538
Hg1 Hg 0.3249 0.7500 0.0316
Hg2 Hg 0.6751 0.2500 0.9684
F1 F 0.0948 0.2500 0.1561
F2 F 0.1566 0.7500 0.5933
F3 F 0.4171 0.7500 0.3685
F4 F 0.5829 0.2500 0.6315
F5 F 0.8434 0.2500 0.4067
F6 F 0.9052 0.7500 0.8439
# V ... 143.7 Å³ per cell
# Symmetry ... No. 11

***

Version two
# ZnHgF3, relaxed, DFT PBE
data_ZnHgF3
_space_group_name_H-M_alt 'P 1'
_space_group_IT_number 1
_cell_length_a 4.1320
_cell_length_b 4.1320
_cell_length_c 4.1320
_cell_angle_alpha 90.00
_cell_angle_beta 90.00
_cell_angle_gamma 90.00
loop_
_space_group_symop_operation_xyz
'x,y,z'
loop_
_atom_site_label
_atom_site_type_symbol
_atom_site_fract_x
_atom_site_fract_y
_atom_site_fract_z
Zn1 Zn 0.0000 0.0000 0.0000
Hg1 Hg 0.5000 0.5000 0.5000
F1 F 0.0000 0.0000 0.5000
F2 F 0.0000 0.5000 0.0000
F3 F 0.5000 0.0000 0.0000
# V ... 70.5 Å³ per cell
# Symmetry ... No. 221

***

Version three
# ZnHgF3, relaxed, DFT PBE
data_ZnHgF3
_space_group_name_H-M_alt 'P 1'
_space_group_IT_number 1
_cell_length_a 4.5421
_cell_length_b 4.5421
_cell_length_c 4.5421
_cell_angle_alpha 90.00
_cell_angle_beta 90.00
_cell_angle_gamma 90.00
loop_
_space_group_symop_operation_xyz
'x,y,z'
loop_
_atom_site_label
_atom_site_type_symbol
_atom_site_fract_x
_atom_site_fract_y
_atom_site_fract_z
Zn1 Zn 0.0000 0.0000 0.0000
Hg1 Hg 0.5000 0.5000 0.5000
F1 F 0.0000 0.5000 0.5000
F2 F 0.5000 0.0000 0.5000
F3 F 0.5000 0.5000 0.0000
# V ... 93.7 Å³ per cell
# Symmetry ... No. 221

***

Short version: version one is the most stable of them.